(1)
Compound: Mg2ZnCu
Source: Alexandria
Functional: PBEsol
Structure: optimized geometry

Output
E ... -0.1764 Ry per atom
ρ ... 4.57 g cm⁻³
Total magnetization ... 0.0 μB per formula unit

Geometry as POSCAR:
```
Mg2ZnCu
1.0
-1.590 2.242 4.521
1.590 -2.242 4.521
1.590 2.242 -4.521
Mg Zn Cu
2 1 1
direct
0.000 0.000 0.000
0.717 0.217 0.500
0.453 0.453 0.000
0.245 0.745 0.500
```

---

(2)
Compound: ZrZn
Source: Alexandria
Functional: PBEsol
Structure: optimized geometry

Output
E ... -0.3757 Ry per atom
ρ ... 7.12 g cm⁻³
Total magnetization ... 0.0 μB per formula unit

Geometry as POSCAR:
```
ZrZn
1.0
2.407 1.390 3.641
-2.407 1.390 3.641
0.000 -2.779 3.641
Zr Zn
2 2
direct
0.141 0.141 0.141
0.859 0.859 0.859
0.388 0.388 0.388
0.612 0.612 0.612
```

---

(3)
Compound: LaGa2Au2
Source: Alexandria
Functional: PBEsol
Structure: optimized geometry

Output
E ... -0.3427 Ry per atom
ρ ... 10.89 g cm⁻³
Total magnetization ... 0.0 μB per formula unit

Geometry as POSCAR:
```
LaGa2Au2
1.0
-2.184 2.184 5.376
2.184 -2.184 5.376
2.184 2.184 -5.376
La Ga Au
1 2 2
direct
0.000 0.000 0.000
0.250 0.750 0.500
0.750 0.250 0.500
0.375 0.375 0.000
0.625 0.625 0.000
```

---

(4)
Compound: CaSn2Cl
Source: Alexandria
Functional: PBEsol
Structure: optimized geometry

Output
Formation energy from raw total energies ... -0.209 eV/atom
E ... -0.2480 Ry per atom
ρ ... 4.93 g cm⁻³
Total magnetization ... 0.0 μB per formula unit

Geometry as POSCAR:
```
CaSn2Cl
1.0
0.000 3.750 3.750
3.750 0.000 3.750
3.750 3.750 0.000
Ca Sn Cl
1 2 1
direct
0.000 0.000 0.000
0.250 0.250 0.250
0.750 0.750 0.750
0.500 0.500 0.500
```

---

(5)
Compound: SrReIr
Source: Alexandria
Functional: PBEsol
Structure: optimized geometry

Output
E ... -0.5812 Ry per atom
ρ ... 13.06 g cm⁻³
Total magnetization ... 0.0 μB per formula unit

Geometry as POSCAR:
```
SrReIr
1.0
-1.515 1.515 6.453
1.515 -1.515 6.453
1.515 1.515 -6.453
Sr Re Ir
1 1 1
direct
0.000 0.000 0.000
0.700 0.700 0.000
0.305 0.305 0.000
```

---

(6)
Compound: K2AsPb
Source: Alexandria
Functional: PBEsol
Structure: optimized geometry

Output
Energy above the most stable polymorph in this dataset ... 199.8 meV/atom
E ... -0.2155 Ry per atom
ρ ... 4.98 g cm⁻³
Total magnetization ... 0.0 μB per formula unit

Geometry as POSCAR:
```
K2AsPb
1.0
0.000 3.917 3.917
3.917 0.000 3.917
3.917 3.917 0.000
K As Pb
2 1 1
direct
0.000 0.000 0.000
0.250 0.250 0.250
0.500 0.500 0.500
0.750 0.750 0.750
```

---

(7)
Compound: Ca2AgPt
Source: Alexandria
Functional: PBEsol
Structure: optimized geometry

Output
E ... -0.2930 Ry per atom
ρ ... 6.18 g cm⁻³
Total magnetization ... 0.0 μB per formula unit

Geometry as POSCAR:
```
Ca2AgPt
1.0
2.041 1.178 7.135
-2.041 1.178 7.135
0.000 -2.357 7.135
Ca Ag Pt
2 1 1
direct
0.240 0.240 0.240
0.760 0.760 0.760
0.000 0.000 0.000
0.500 0.500 0.500
```

---

(8)
Compound: Cu2Au3
Source: Alexandria
Functional: PBEsol
Structure: optimized geometry

Output
Energy above the most stable polymorph in this dataset ... 0.0 meV/atom
E ... -0.3034 Ry per atom
ρ ... 16.13 g cm⁻³
Total magnetization ... 0.0 μB per formula unit

Geometry as POSCAR:
```
Cu2Au3
1.0
-1.403 1.768 7.453
1.403 -1.768 7.453
1.403 1.768 -7.453
Cu Au
2 3
direct
0.097 0.097 0.000
0.903 0.903 0.000
0.309 0.309 0.000
0.500 0.500 0.000
0.691 0.691 0.000
```

---

(9)
Compound: NaHfH2W
Source: Alexandria
Functional: PBEsol
Structure: optimized geometry

Output
E ... -0.3892 Ry per atom
ρ ... 8.51 g cm⁻³
Total magnetization ... 0.0 μB per formula unit

Geometry as POSCAR:
```
NaHfH2W
1.0
3.911 0.000 0.000
0.000 3.911 0.000
0.000 0.000 4.940
Na Hf H W
1 1 2 1
direct
0.000 0.000 0.000
0.500 0.500 0.000
0.000 0.500 0.500
0.500 0.000 0.500
0.500 0.500 0.500
```

---

(10)
Compound: SrAs2IrBr
Source: Alexandria
Functional: PBEsol
Structure: optimized geometry

Output
Formation energy from raw total energies ... 1.667 eV/atom
E ... -0.2265 Ry per atom
ρ ... 5.14 g cm⁻³
Total magnetization ... 1.8 μB per formula unit

Geometry as POSCAR:
```
SrAs2IrBr
1.0
5.533 0.000 0.000
0.000 5.533 0.000
0.000 0.000 5.375
Sr As Ir Br
1 2 1 1
direct
0.000 0.000 0.000
0.000 0.500 0.000
0.500 0.000 0.000
0.500 0.500 0.500
0.000 0.000 0.500
```

---

(11)
Compound: LiHgPb2
Source: Alexandria
Functional: PBEsol
Structure: optimized geometry

Output
E ... -0.2030 Ry per atom
ρ ... 10.35 g cm⁻³
Total magnetization ... 0.0 μB per formula unit

Geometry as POSCAR:
```
LiHgPb2
1.0
1.729 0.998 9.629
-1.729 0.998 9.629
0.000 -1.997 9.629
Li Hg Pb
1 1 2
direct
0.000 0.000 0.000
0.732 0.732 0.732
0.251 0.251 0.251
0.490 0.490 0.490
```

---

(12)
Compound: LiSiIr2
Source: Alexandria
Functional: PBEsol
Structure: optimized geometry

Output
Formation energy from raw total energies ... -0.027 eV/atom
E ... -0.5047 Ry per atom
ρ ... 11.50 g cm⁻³
Total magnetization ... 0.0 μB per formula unit

Geometry as POSCAR:
```
LiSiIr2
1.0
-3.490 3.490 2.488
3.490 -3.490 2.488
3.490 3.490 -2.488
Li Si Ir
2 2 4
direct
0.000 0.000 0.000
0.750 0.250 0.500
0.250 0.750 0.500
0.500 0.500 0.000
0.187 0.625 0.062
0.375 0.437 0.562
0.563 0.125 0.938
0.875 0.813 0.438
```

---

(13)
Compound: ZrMo2O8
Source: Alexandria
Functional: PBEsol
Structure: optimized geometry

Output
Energy above the most stable polymorph in this dataset ... 0.0 meV/atom
Formation energy from raw total energies ... -2.372 eV/atom
E ... -0.6729 Ry per atom
ρ ... 4.81 g cm⁻³
Total magnetization ... 0.0 μB per formula unit

Geometry as POSCAR:
```
ZrMo2O8
1.0
5.743 -3.919 0.000
5.743 3.919 0.000
-3.961 0.000 6.302
Zr Mo O
2 4 16
direct
0.019 0.981 0.750
0.981 0.019 0.250
0.059 0.504 0.241
0.496 0.941 0.259
0.504 0.059 0.741
0.941 0.496 0.759
0.012 0.681 0.061
0.022 0.793 0.421
0.059 0.650 0.712
0.207 0.978 0.079
0.319 0.988 0.439
0.328 0.399 0.335
0.350 0.941 0.788
0.399 0.328 0.835
0.601 0.672 0.165
0.650 0.059 0.212
0.672 0.601 0.665
0.681 0.012 0.561
0.793 0.022 0.921
0.941 0.350 0.288
0.978 0.207 0.579
0.988 0.319 0.939
```

---

(14)
Compound: RbHSeO4
Source: Alexandria
Functional: PBEsol
Structure: optimized geometry

Output
E ... -0.3885 Ry per atom
ρ ... 3.42 g cm⁻³
Total magnetization ... 0.0 μB per formula unit

Geometry as POSCAR:
```
RbHSeO4
1.0
4.559 0.000 0.000
0.000 7.557 0.000
0.000 0.000 12.929
Rb H Se O
4 4 4 16
direct
0.182 0.048 0.378
0.318 0.952 0.878
0.682 0.452 0.622
0.818 0.548 0.122
0.237 0.831 0.615
0.263 0.169 0.115
0.737 0.669 0.385
0.763 0.331 0.885
0.229 0.462 0.875
0.271 0.538 0.375
0.729 0.038 0.125
0.771 0.962 0.625
0.008 0.675 0.332
0.035 0.822 0.572
0.085 0.573 0.779
0.157 0.414 0.471
0.343 0.586 0.971
0.415 0.427 0.279
0.465 0.178 0.072
0.492 0.325 0.832
0.508 0.825 0.668
0.535 0.678 0.428
0.585 0.927 0.221
0.657 0.086 0.529
0.843 0.914 0.029
0.915 0.073 0.721
0.965 0.322 0.928
0.992 0.175 0.168
```

---

(15)
Compound: Ta7Mo
Source: Alexandria
Functional: PBEsol
Structure: optimized geometry

Output
Energy above the most stable polymorph in this dataset ... 2.5 meV/atom
E ... -0.9185 Ry per atom
ρ ... 16.35 g cm⁻³
Total magnetization ... 0.0 μB per formula unit

Geometry as POSCAR:
```
Ta7Mo
1.0
3.260 0.000 0.000
0.000 4.618 0.000
0.000 0.000 9.194
Ta Mo
7 1
direct
0.000 0.000 0.000
0.000 0.000 0.500
0.000 0.500 0.240
0.000 0.500 0.760
0.500 0.000 0.253
0.500 0.000 0.747
0.500 0.500 0.500
0.500 0.500 0.000
```

---

(16)
Compound: MoRh2Br
Source: Alexandria
Functional: PBEsol
Structure: optimized geometry

Output
Energy above the most stable polymorph in this dataset ... 0.0 meV/atom
Formation energy from raw total energies ... 0.214 eV/atom
E ... -0.5339 Ry per atom
ρ ... 10.19 g cm⁻³
Total magnetization ... 0.0 μB per formula unit

Geometry as POSCAR:
```
MoRh2Br
1.0
2.850 0.000 0.000
0.000 2.850 0.000
0.000 0.000 7.655
Mo Rh Br
1 2 1
direct
0.000 0.000 0.000
0.500 0.500 0.229
0.500 0.500 0.771
0.000 0.000 0.500
```

---

(17)
Compound: Sr3NiN
Source: Alexandria
Functional: PBEsol
Structure: optimized geometry

Output
Formation energy from raw total energies ... -0.126 eV/atom
E ... -0.3063 Ry per atom
ρ ... 4.26 g cm⁻³
Total magnetization ... 0.0 μB per formula unit

Geometry as POSCAR:
```
Sr3NiN
1.0
5.078 0.000 0.000
0.000 5.078 0.000
0.000 0.000 5.078
Sr Ni N
3 1 1
direct
0.000 0.000 0.500
0.000 0.500 0.000
0.500 0.000 0.000
0.500 0.500 0.500
0.000 0.000 0.000
```

---

(18)
Compound: Tc2BiH
Source: Alexandria
Functional: PBEsol
Structure: optimized geometry

Output
E ... -0.5141 Ry per atom
ρ ... 11.11 g cm⁻³
Total magnetization ... 0.0 μB per formula unit

Geometry as POSCAR:
```
Tc2BiH
1.0
-2.431 2.431 5.134
2.431 -2.431 5.134
2.431 2.431 -5.134
Tc Bi H
4 2 2
direct
0.375 0.158 0.283
0.842 0.125 0.217
0.875 0.092 0.717
0.908 0.625 0.783
0.250 0.750 0.500
0.500 0.500 0.000
0.000 0.000 0.000
0.750 0.250 0.500
```

---

(19)
Compound: Ba8V7O22
Source: Alexandria
Functional: PBEsol
Structure: optimized geometry

Output
Formation energy from raw total energies ... -2.754 eV/atom
E ... -0.6000 Ry per atom
ρ ... 5.53 g cm⁻³
Total magnetization ... 5.2 μB per formula unit

Geometry as POSCAR:
```
Ba8V7O22
1.0
2.875 1.660 18.959
-2.875 1.660 18.959
0.000 -3.320 18.959
Ba V O
8 7 22
direct
0.105 0.105 0.105
0.181 0.181 0.181
0.318 0.318 0.318
0.389 0.389 0.389
0.611 0.611 0.611
0.682 0.682 0.682
0.819 0.819 0.819
0.895 0.895 0.895
0.000 0.000 0.000
0.043 0.043 0.043
0.257 0.257 0.257
0.465 0.465 0.465
0.535 0.535 0.535
0.743 0.743 0.743
0.957 0.957 0.957
0.103 0.103 0.601
0.103 0.601 0.103
0.174 0.174 0.715
0.174 0.715 0.174
0.199 0.687 0.687
0.227 0.227 0.227
0.285 0.826 0.826
0.313 0.313 0.801
0.313 0.801 0.313
0.399 0.897 0.897
0.436 0.436 0.436
0.564 0.564 0.564
0.601 0.103 0.103
0.687 0.199 0.687
0.687 0.687 0.199
0.715 0.174 0.174
0.773 0.773 0.773
0.801 0.313 0.313
0.826 0.285 0.826
0.826 0.826 0.285
0.897 0.399 0.897
0.897 0.897 0.399
```

---

(20)
Compound: CaTe2Mo
Source: Alexandria
Functional: PBEsol
Structure: optimized geometry

Output
Energy above the most stable polymorph in this dataset ... 26.4 meV/atom
Formation energy from raw total energies ... -0.392 eV/atom
E ... -0.4138 Ry per atom
ρ ... 6.79 g cm⁻³
Total magnetization ... 0.0 μB per formula unit

Geometry as POSCAR:
```
CaTe2Mo
1.0
-1.770 1.912 7.067
1.770 -1.912 7.067
1.770 1.912 -7.067
Ca Te Mo
1 2 1
direct
0.000 0.000 0.000
0.390 0.390 0.000
0.668 0.168 0.500
0.245 0.745 0.500
```